[1]
Ce5Tl2Tc2 GGA-PBE optimized geometry; total DFT energy (no corrections) = -6.256 eV per atom; calculated formation energy = -1.2 eV/f.u.; DOS(E_F) = 2.206 states/eV/atom; total magnetization = 1.28 μB per formula unit
1.0
-7.018 3.425 0.664
-3.117 -6.699 1.609
2.919 4.609 7.079
Ce Tl Tc
10 4 4
direct
0.169 0.217 0.774
0.331 0.717 0.774
0.669 0.283 0.226
0.000 0.000 0.000
0.831 0.783 0.226
0.831 0.557 0.774
0.331 0.943 0.226
0.669 0.057 0.774
0.169 0.443 0.226
0.500 0.500 0.000
0.000 0.779 0.558
0.500 0.279 0.558
0.000 0.221 0.442
0.500 0.721 0.442
0.861 0.362 0.000
0.361 0.138 0.000
0.639 0.862 0.000
0.139 0.638 0.000

---

[2]
Cs2Sr2Zn GGA-PBE optimized geometry; total DFT energy (no corrections) = -1.105 eV per atom; calculated formation energy = 0.8 eV/f.u.; DOS(E_F) = 0.714 states/eV/atom; total magnetization = 0.00 μB per formula unit
1.0
-1.872 -6.954 -5.057
5.552 -4.929 4.723
-5.993 -1.996 4.963
Cs Zn Sr
4 2 4
direct
0.680 0.820 0.500
0.820 0.320 0.500
0.180 0.680 0.500
0.320 0.180 0.500
0.000 0.000 0.000
0.500 0.500 0.000
0.325 0.825 0.000
0.825 0.675 0.000
0.175 0.325 0.000
0.675 0.175 0.000

---

[3]
Cd3CuPd GGA-PBE optimized geometry; total DFT energy (no corrections) = -2.023 eV per atom; energy above the lowest structure with this stoichiometry = 0.0000 eV/atom; calculated formation energy = 1.9 eV/f.u.; DOS(E_F) = 0.475 states/eV/atom; total magnetization = 0.00 μB per formula unit
1.0
-4.334 -1.666 -1.478
-1.359 -0.584 4.643
-1.765 4.542 0.054
Cd Cu Pd
3 1 1
direct
0.000 0.500 0.000
0.500 0.000 0.000
0.000 0.000 0.500
0.000 0.000 0.000
0.500 0.500 0.500

---

[4]
Ba12Sr5Ac GGA-PBE optimized geometry; total DFT energy (no corrections) = -1.955 eV per atom; calculated formation energy = 0.4 eV/f.u.; DOS(E_F) = 1.201 states/eV/atom; total magnetization = 0.00 μB per formula unit
1.0
-4.480 -2.535 -4.599
-0.734 -8.154 0.031
-15.167 1.416 13.986
Sr Ba Ac
5 12 1
direct
0.666 0.668 0.000
0.832 0.335 0.500
0.500 0.000 0.500
0.168 0.665 0.500
0.334 0.332 0.000
0.333 0.335 0.333
0.001 0.000 0.335
0.165 0.673 0.161
0.835 0.327 0.839
0.667 0.665 0.667
0.838 0.327 0.161
0.332 0.335 0.667
0.162 0.673 0.839
0.498 0.000 0.838
0.668 0.665 0.333
0.999 0.000 0.665
0.502 0.000 0.162
0.000 0.000 0.000

---

[5]
Dy3HgPb3 GGA-PBE optimized geometry; total DFT energy (no corrections) = -3.876 eV per atom; calculated formation energy = -1.9 eV/f.u.; DOS(E_F) = 0.838 states/eV/atom; total magnetization = 0.00 μB per formula unit
1.0
-5.239 1.748 1.811
-3.775 -6.616 -4.534
2.493 -1.250 8.415
Dy Pb Hg
6 6 2
direct
0.250 0.363 0.451
0.250 0.549 0.912
0.750 0.912 0.363
0.750 0.637 0.549
0.250 0.088 0.637
0.750 0.451 0.088
0.250 0.945 0.203
0.750 0.203 0.259
0.250 0.797 0.741
0.750 0.055 0.797
0.750 0.741 0.945
0.250 0.259 0.055
0.750 0.333 0.667
0.250 0.667 0.333

---

[6]
Sr2BeF GGA-PBE optimized geometry; total DFT energy (no corrections) = -2.888 eV per atom; energy above the lowest structure with this stoichiometry = 0.3479 eV/atom; uncorrected formation energy = -647 meV per atom; DOS(E_F) = 0.939 states/eV/atom; total magnetization = 1.01 μB per formula unit
1.0
0.000 3.714 3.714
3.714 0.000 3.714
3.714 3.714 0.000
Sr Be F
2 1 1
direct
0.750 0.750 0.750
0.250 0.250 0.250
0.000 0.000 0.000
0.500 0.500 0.500

---

[7]
TbPuZnOs GGA-PBE optimized geometry; total DFT energy (no corrections) = -7.972 eV per atom; calculated formation energy = -0.4 eV/f.u.; DOS(E_F) = 2.258 states/eV/atom; total magnetization = 5.24 μB per formula unit
1.0
4.911 0.000 0.000
2.455 4.253 0.000
2.455 1.418 4.009
Zn Pu Tb Os
1 1 1 1
direct
0.500 0.500 0.500
0.750 0.750 0.750
0.250 0.250 0.250
0.000 0.000 0.000

---

[8]
Tm4ZnPd7 GGA-PBE optimized geometry; total DFT energy (no corrections) = -5.320 eV per atom; calculated formation energy = -8.3 eV/f.u.; DOS(E_F) = 0.488 states/eV/atom; total magnetization = 0.00 μB per formula unit
1.0
-1.916 4.373 -1.628
-5.114 3.273 6.997
3.158 4.815 1.402
Tm Zn Pd
4 1 7
direct
0.785 0.640 0.791
0.591 0.214 0.603
0.215 0.360 0.209
0.409 0.786 0.397
0.000 0.000 0.000
0.918 0.301 0.862
0.204 0.089 0.503
0.082 0.699 0.138
0.369 0.518 0.744
0.631 0.482 0.256
0.500 0.000 0.000
0.796 0.911 0.497

---

[9]
Be2TeRu GGA-PBE optimized geometry; total DFT energy (no corrections) = -4.755 eV per atom; uncorrected formation energy = 212 meV per atom; DOS(E_F) = 0.887 states/eV/atom; total magnetization = 0.00 μB per formula unit
1.0
4.244 -0.013 -0.007
2.995 3.007 -0.007
0.188 0.078 4.739
Be Ru Te
2 1 1
direct
0.462 0.462 0.620
0.038 0.038 0.880
0.750 0.750 0.750
0.250 0.250 0.250

---

[10]
NaRe2Cl8 GGA-PBE optimized geometry; total DFT energy (no corrections) = -4.197 eV per atom; uncorrected formation energy = -471 meV per atom; DOS(E_F) = 0.559 states/eV/atom; total magnetization = 4.99 μB per formula unit
1.0
6.844 0.771 0.585
1.032 7.921 0.649
1.032 2.758 7.454
Na Cl Re
1 8 2
direct
0.000 0.000 0.000
0.789 0.079 0.705
0.338 0.808 0.808
0.662 0.192 0.192
0.236 0.367 0.367
0.789 0.705 0.079
0.211 0.295 0.921
0.211 0.921 0.295
0.764 0.633 0.633
0.332 0.194 0.194
0.668 0.806 0.806

---

[11]
ScAg2IrSe GGA-PBE optimized geometry; total DFT energy (no corrections) = -3.842 eV per atom; uncorrected formation energy = 1034 meV per atom; DOS(E_F) = 0.437 states/eV/atom; total magnetization = 0.00 μB per formula unit
1.0
5.154 0.000 0.000
0.000 4.632 0.000
0.000 0.000 5.154
Se Ag Sc Ir
1 2 1 1
direct
0.500 0.500 0.500
0.000 0.000 0.500
0.500 0.000 0.000
0.000 0.000 0.000
0.000 0.500 0.000

---

[12]
Sc4Pb3 GGA-PBE optimized geometry; total DFT energy (no corrections) = -5.415 eV per atom; energy above the lowest structure with this stoichiometry = 0.0000 eV/atom; calculated formation energy = -1.5 eV/f.u.; DOS(E_F) = 1.228 states/eV/atom; total magnetization = 1.39 μB per formula unit
1.0
-2.008 2.008 10.840
2.008 -2.008 10.840
2.008 2.008 -10.840
Pb Sc
3 4
direct
0.000 0.000 0.000
0.292 0.292 0.000
0.708 0.708 0.000
0.428 0.428 0.000
0.572 0.572 0.000
0.854 0.854 0.000
0.146 0.146 0.000